LaEr5Ru4: optimized geometry, PBE.

Summary:
VASP energy = -68.21 eV/cell
D(E_F) = 10.02 states/eV/cell
Crystal system = tetragonal
Space group = P4/mmm, No. 123

Unit cell a=3.3842 b=3.3842 c=19.4079 alpha=90.00 beta=90.00 gamma=90.00
Atoms (fractional coordinates):
La 0.0000 0.0000 0.0000
Er 0.5000 0.5000 0.1554
Er 0.5000 0.5000 0.3274
Er 0.5000 0.5000 0.5000
Er 0.5000 0.5000 0.6726
Er 0.5000 0.5000 0.8446
Ru 0.0000 0.0000 0.2354
Ru 0.0000 0.0000 0.4129
Ru 0.0000 0.0000 0.5871
Ru 0.0000 0.0000 0.7646

La3ErS: optimized geometry, PBE.

Summary:
ΔE_f (raw) = -0.71 eV/atom
D(E_F) = 5.81 states/eV/cell
Crystal system = cubic
Space group = Pm-3m, No. 221

Unit cell a=5.5896 b=5.5896 c=5.5896 alpha=90.00 beta=90.00 gamma=90.00
Atoms (fractional coordinates):
La 0.0000 0.0000 0.5000
La 0.0000 0.5000 0.0000
La 0.5000 0.0000 0.0000
Er 0.5000 0.5000 0.5000
S 0.0000 0.0000 0.0000

La3ErS6: optimized geometry, PBE.

Summary:
ΔE_f (raw) = -2.08 eV/atom
Crystal system = monoclinic
Space group = P2_1/m, No. 11

Unit cell a=11.2700 b=4.1487 c=11.8153 alpha=90.00 beta=106.88 gamma=90.00
Atoms (fractional coordinates):
La 0.0828 0.2500 0.1694
La 0.1843 0.7500 0.5087
La 0.3392 0.2500 0.9152
La 0.6608 0.7500 0.0848
La 0.8157 0.2500 0.4913
La 0.9172 0.7500 0.8306
Er 0.4598 0.2500 0.3252
Er 0.5402 0.7500 0.6748
S 0.0264 0.2500 0.3872
S 0.0885 0.2500 0.9261
S 0.2624 0.7500 0.2881
S 0.3266 0.7500 0.7479
S 0.3986 0.2500 0.5411
S 0.4100 0.7500 0.0935
S 0.5900 0.2500 0.9065
S 0.6014 0.7500 0.4589
S 0.6734 0.2500 0.2521
S 0.7376 0.2500 0.7119
S 0.9115 0.7500 0.0739
S 0.9736 0.7500 0.6128

La3ErS4: optimized geometry, PBE.

Summary:
ΔE_f (raw) = -2.10 eV/atom
D(E_F) = 4.94 states/eV/cell
Crystal system = orthorhombic
Space group = Cmmm, No. 65
Distance to the lowest polymorph of the same formula = 4 meV per atom

Unit cell a=7.0999 b=7.0999 c=4.0510 alpha=90.00 beta=90.00 gamma=109.06
Atoms (fractional coordinates):
La 0.0000 0.0000 0.0000
La 0.0000 0.5000 0.5000
La 0.5000 0.0000 0.5000
Er 0.5000 0.5000 0.0000
S 0.2591 0.7409 0.0000
S 0.2675 0.2675 0.5000
S 0.7325 0.7325 0.5000
S 0.7409 0.2591 0.0000

LaErS3: optimized geometry, PBE.

Summary:
ΔE_f (raw) = -2.09 eV/atom
Crystal system = monoclinic
Space group = C2/m, No. 12
Distance to the lowest polymorph of the same formula = 55 meV per atom

Unit cell a=7.5674 b=7.5674 c=8.6559 alpha=92.10 beta=92.10 gamma=30.47
Atoms (fractional coordinates):
La 0.1149 0.1149 0.0891
La 0.8851 0.8851 0.9109
Er 0.3282 0.3282 0.3642
Er 0.6718 0.6718 0.6358
S 0.1436 0.1436 0.4366
S 0.2441 0.2441 0.8345
S 0.4631 0.4631 0.1642
S 0.5369 0.5369 0.8358
S 0.7559 0.7559 0.1655
S 0.8564 0.8564 0.5634

La3ErS4: optimized geometry, PBE.

Summary:
ΔE_f (raw) = -2.11 eV/atom
D(E_F) = 7.69 states/eV/cell
Crystal system = monoclinic
Space group = P2/c, No. 13
Distance to the lowest polymorph of the same formula = 0 meV per atom

Unit cell a=7.1192 b=8.1286 c=7.0681 alpha=90.00 beta=109.40 gamma=90.00
Atoms (fractional coordinates):
La 0.0000 0.1238 0.2500
La 0.0000 0.3742 0.7500
La 0.0000 0.6258 0.2500
La 0.0000 0.8762 0.7500
La 0.5000 0.1250 0.7500
La 0.5000 0.8750 0.2500
Er 0.5000 0.3745 0.2500
Er 0.5000 0.6255 0.7500
S 0.2594 0.1343 0.0096
S 0.2594 0.8657 0.5096
S 0.2670 0.3840 0.4997
S 0.2670 0.6160 0.9997
S 0.7330 0.3840 0.0003
S 0.7330 0.6160 0.5003
S 0.7406 0.1343 0.4904
S 0.7406 0.8657 0.9904

La2ErS3: optimized geometry, PBE.

Summary:
ΔE_f (raw) = -2.06 eV/atom
D(E_F) = 2.82 states/eV/cell
Crystal system = tetragonal
Space group = I4/mmm, No. 139

Unit cell a=9.0736 b=9.0736 c=9.0736 alpha=154.06 beta=154.06 gamma=37.01
Atoms (fractional coordinates):
La 0.1693 0.1693 0.0000
La 0.8307 0.8307 0.0000
Er 0.5000 0.5000 0.0000
S 0.0000 0.0000 0.0000
S 0.3415 0.3415 0.0000
S 0.6585 0.6585 0.0000

La4ErS7: optimized geometry, PBE.

Summary:
ΔE_f (raw) = -2.16 eV/atom
D(E_F) = 1.74 states/eV/cell
Crystal system = monoclinic
Space group = Cm, No. 8

Unit cell a=7.0401 b=7.0401 c=11.9416 alpha=104.98 beta=104.98 gamma=33.04
Atoms (fractional coordinates):
La 0.0000 0.0000 0.0000
La 0.1916 0.1916 0.7664
La 0.5865 0.5865 0.3781
La 0.8878 0.8878 0.5685
Er 0.7758 0.7758 0.1494
S 0.1613 0.1613 0.2192
S 0.2270 0.2270 0.5208
S 0.3798 0.3798 0.0761
S 0.5483 0.5483 0.6234
S 0.6317 0.6317 0.9333
S 0.8472 0.8472 0.7877
S 0.9276 0.9276 0.3478